[1]
! GGA-PBE MnCoPt6, optimized geometry; values from VASP
&SYSTEM
  ibrav = 0, nat = 8, ntyp = 3
/
ATOMIC_SPECIES
Mn 54.94 Mn.upf
Co 58.93 Co.upf
Pt 195.08 Pt.upf
ATOMIC_POSITIONS crystal
Mn 0.000 0.000 0.000
Co 0.000 0.500 0.500
Pt 0.249 0.878 0.624
Pt 0.499 0.255 0.747
Pt 0.249 0.374 0.127
Pt 0.501 0.745 0.253
Pt 0.751 0.122 0.376
Pt 0.751 0.626 0.873
CELL_PARAMETERS angstrom
-3.748 -0.923 -0.657
-0.837 -4.717 -0.266
-2.824 -1.513 6.568
! **Energy of formation**: -0.17 eV/atom
! **Polymorph energy (0 for the lowest one)**: 0.030 eV/atom
! **V**: 14.971 Å³ per atom
! **Theoretical density**: 17.81 g cm⁻³
! **Crystal system**: monoclinic
! **SG**: C2/m
! **Total energy**: -6.7343 eV per atom

[2]
! GGA-PBE Cd2GeRuPb, optimized geometry; values from VASP
&SYSTEM
  ibrav = 0, nat = 5, ntyp = 4
/
ATOMIC_SPECIES
Pb 207.20 Pb.upf
Ru 101.07 Ru.upf
Ge 72.64 Ge.upf
Cd 112.41 Cd.upf
ATOMIC_POSITIONS crystal
Pb 0.000 0.000 0.000
Ru 0.000 0.500 0.000
Ge 0.500 0.500 0.500
Cd 0.000 0.000 0.500
Cd 0.500 0.000 0.000
CELL_PARAMETERS angstrom
-5.059 0.707 -1.900
-1.784 0.048 4.770
0.679 5.404 0.200
! **Energy of formation**: 1.29 eV/atom
! **V**: 30.257 Å³ per atom
! **Theoretical density**: 6.65 g cm⁻³
! **Crystal system**: tetragonal
! **SG**: P4/mmm
! **Total energy**: -2.5921 eV per atom

[3]
! GGA-PBE NbSb, optimized geometry; values from VASP
&SYSTEM
  ibrav = 0, nat = 16, ntyp = 2
/
ATOMIC_SPECIES
Nb 92.91 Nb.upf
Sb 121.76 Sb.upf
ATOMIC_POSITIONS crystal
Nb 0.351 0.373 0.001
Nb 0.851 0.127 0.999
Nb 0.649 0.873 0.499
Nb 0.149 0.627 0.501
Nb 0.590 0.146 0.731
Nb 0.090 0.354 0.269
Nb 0.410 0.646 0.769
Nb 0.910 0.854 0.231
Sb 0.842 0.553 0.023
Sb 0.342 0.947 0.977
Sb 0.158 0.053 0.477
Sb 0.658 0.447 0.523
Sb 0.095 0.307 0.742
Sb 0.595 0.193 0.258
Sb 0.905 0.807 0.758
Sb 0.405 0.693 0.242
CELL_PARAMETERS angstrom
-4.359 -1.884 -2.441
3.741 -4.780 -2.991
-1.590 -5.847 7.355
! **V**: 21.519 Å³ per atom
! **Theoretical density**: 8.28 g cm⁻³
! **Crystal system**: orthorhombic
! **SG**: P2_12_12_1
! **Formation energy without anion corrections**: 17 meV/atom
! **Total energy**: -7.0794 eV per atom

[4]
! GGA-PBE NaScBr2, optimized geometry; values from VASP
&SYSTEM
  ibrav = 0, nat = 4, ntyp = 3
/
ATOMIC_SPECIES
Sc 44.96 Sc.upf
Na 22.99 Na.upf
Br 79.90 Br.upf
ATOMIC_POSITIONS crystal
Sc 0.500 0.500 0.500
Na 0.000 0.000 0.000
Br 0.250 0.250 0.250
Br 0.750 0.750 0.750
CELL_PARAMETERS angstrom
0.000 3.614 3.614
3.614 0.000 3.614
3.614 3.614 0.000
! **Polymorph energy (0 for the lowest one)**: 0.278 eV/atom
! **V**: 23.600 Å³ per atom
! **Theoretical density**: 4.01 g cm⁻³
! **Crystal system**: cubic
! **SG**: Fm-3m
! **Formation energy without anion corrections**: -812 meV/atom
! **Total energy**: -3.5614 eV per atom

[5]
! GGA-PBE Na2ThCuSe4, optimized geometry; values from VASP
&SYSTEM
  ibrav = 0, nat = 16, ntyp = 4
/
ATOMIC_SPECIES
Na 22.99 Na.upf
Th 232.04 Th.upf
Cu 63.55 Cu.upf
Se 78.96 Se.upf
ATOMIC_POSITIONS crystal
Na 0.359 0.718 0.562
Na 0.641 0.282 0.062
Na 0.641 0.282 0.438
Na 0.359 0.718 0.938
Th 0.095 0.191 0.750
Th 0.905 0.809 0.250
Cu 0.824 0.647 0.750
Cu 0.176 0.353 0.250
Se 0.306 0.613 0.131
Se 0.694 0.387 0.631
Se 0.694 0.387 0.869
Se 0.306 0.613 0.369
Se 0.000 0.000 0.500
Se 0.000 0.000 0.000
Se 0.430 0.861 0.750
Se 0.570 0.139 0.250
CELL_PARAMETERS angstrom
-0.531 1.776 -3.570
5.265 -4.359 -0.684
-9.345 -10.673 -3.919
! **V**: 24.304 Å³ per atom
! **Theoretical density**: 5.61 g cm⁻³
! **Crystal system**: orthorhombic
! **SG**: Cmcm
! **Formation energy without anion corrections**: -1015 meV/atom
! **Total energy**: -4.5268 eV per atom

[6]
! GGA-PBE Ba2SeICl, optimized geometry; values from VASP
&SYSTEM
  ibrav = 0, nat = 5, ntyp = 4
/
ATOMIC_SPECIES
Ba 137.33 Ba.upf
Se 78.96 Se.upf
I 126.90 I.upf
Cl 35.45 Cl.upf
ATOMIC_POSITIONS crystal
Ba 0.333 0.667 0.275
Ba 0.667 0.333 0.728
Se 0.667 0.333 0.360
I 0.000 0.000 0.977
Cl 0.333 0.667 0.660
CELL_PARAMETERS angstrom
5.325 0.000 0.000
-2.662 4.611 0.000
0.000 0.000 8.487
! **V**: 41.680 Å³ per atom
! **Theoretical density**: 4.11 g cm⁻³
! **Crystal system**: trigonal
! **SG**: P3m1
! **Formation energy without anion corrections**: -2054 meV/atom
! **Total energy**: -4.1995 eV per atom

Density of states at the Fermi level across the listed records, respectively: 12.0 6.1 13.0 1.9 7.6 0.0 states/eV per cell.